This record from Alexandria describes an optimized crystal structure of LiAgSn. The functional is PBE-GGA.

Computed properties:
total magnetic moment	0.00	Bohr magnetons per cell
calculated formation energy	-0.1875	eV per atom

Cell and atoms, written as POSCAR:
```
LiAgSn
1.0
6.533 0.000 0.000
0.000 6.533 0.000
0.000 0.000 5.940
Li Ag Sn
4 4 4
Cartesian
1.295 1.295 0.000
1.971 4.562 2.970
4.562 1.971 2.970
5.237 5.237 0.000
0.000 3.266 1.485
0.000 3.266 4.455
3.266 0.000 1.485
3.266 0.000 4.455
1.045 1.045 2.970
2.222 4.311 0.000
4.311 2.222 0.000
5.488 5.488 2.970
```